(1)
Compound: CaLa3
Source: the Alexandria database
Functional: GGA-PBEsol
Structure: relaxed

Properties
- volume (A^3/atom) = 35.25
- magnetic moment (μB per formula unit) = 0.00
- formation energy from the elements (eV/atom) = 0.0771

abc: 5.1799 5.1799 6.4056
angles: 113.85 113.85 90.00
Atoms (fractional coordinates):
La (0.7500, 0.2500, 0.5000)
Ca (0.0000, 0.0000, 0.0000)
La (0.5000, 0.5000, 0.0000)
La (0.2500, 0.7500, 0.5000)



(2)
Compound: Zr2TcRu
Source: the Alexandria database
Functional: GGA-PBEsol
Structure: relaxed

Properties
- volume (A^3/atom) = 16.92
- magnetic moment (μB per formula unit) = 0.00
- formation energy from the elements (eV/atom) = -0.5077

abc: 3.2315 3.2315 6.4805
angles: 90.00 90.00 90.00
Atoms (fractional coordinates):
Zr (0.0000, 0.0000, 0.7487)
Ru (0.5000, 0.5000, 0.0000)
Tc (0.5000, 0.5000, 0.5000)
Zr (0.0000, 0.0000, 0.2513)



(3)
Compound: AgMoBr2
Source: the Alexandria database
Functional: GGA-PBEsol
Structure: relaxed

Properties
- volume (A^3/atom) = 19.86
- magnetic moment (μB per formula unit) = 0.01
- polymorph energy (0 for the lowest one) (meV per atom) = 105
- energy relative to the elements, uncorrected (eV/f.u.) = 1.193

abc: 3.0964 3.0964 8.2873
angles: 90.00 90.00 90.00
Atoms (fractional coordinates):
Br (0.5000, 0.5000, 0.3211)
Mo (0.0000, 0.0000, 0.4983)
Br (0.0000, 0.0000, 0.9529)
Ag (0.5000, 0.5000, 0.7278)



(4)
Compound: Sc2ZnIr
Source: the Alexandria database
Functional: GGA-PBEsol
Structure: relaxed

Properties
- volume (A^3/atom) = 17.70
- magnetic moment (μB per formula unit) = 0.00
- polymorph energy (0 for the lowest one) (meV per atom) = 338
- formation energy from the elements (eV/atom) = -0.3796

abc: 3.0528 4.2162 5.5018
angles: 90.00 90.00 90.00
Atoms (fractional coordinates):
Sc (0.0000, 0.0000, 0.9482)
Sc (0.5000, 0.5000, 0.2837)
Ir (0.5000, 0.5000, 0.7972)
Zn (0.0000, 0.0000, 0.4710)



(5)
Compound: KSrTl2
Source: the Alexandria database
Functional: GGA-PBEsol
Structure: relaxed

Properties
- volume (A^3/atom) = 32.59
- magnetic moment (μB per formula unit) = 0.00
- polymorph energy (0 for the lowest one) (meV per atom) = 0
- formation energy from the elements (eV/atom) = -0.2268

abc: 3.8662 5.6723 5.9447
angles: 90.00 90.00 90.00
Atoms (fractional coordinates):
Tl (0.0000, 0.5000, 0.6870)
Tl (0.0000, 0.0000, 0.0669)
Sr (0.5000, 0.5000, 0.1602)
K (0.5000, 0.0000, 0.5860)



(6)
Compound: LiFe
Source: the Alexandria database
Functional: GGA-PBEsol
Structure: relaxed

Properties
- volume (A^3/atom) = 11.90
- magnetic moment (μB per formula unit) = 2.54
- formation energy from the elements (eV/atom) = 0.6336

abc: 4.5663 4.5663 4.5663
angles: 90.00 90.00 90.00
Atoms (fractional coordinates):
Fe (0.5993, 0.9007, 0.0993)
Li (0.5971, 0.4029, 0.9029)
Li (0.9029, 0.5971, 0.4029)
Fe (0.4007, 0.4007, 0.4007)
Li (0.4029, 0.9029, 0.5971)
Fe (0.0993, 0.5993, 0.9007)
Fe (0.9007, 0.0993, 0.5993)
Li (0.0971, 0.0971, 0.0971)



What did the second record say?
Compound: Zr2TcRu
Source: the Alexandria database
Functional: GGA-PBEsol
Structure: relaxed

Properties
- volume (A^3/atom) = 16.92
- magnetic moment (μB per formula unit) = 0.00
- formation energy from the elements (eV/atom) = -0.5077

abc: 3.2315 3.2315 6.4805
angles: 90.00 90.00 90.00
Atoms (fractional coordinates):
Zr (0.0000, 0.0000, 0.7487)
Ru (0.5000, 0.5000, 0.0000)
Tc (0.5000, 0.5000, 0.5000)
Zr (0.0000, 0.0000, 0.2513)



- Which of these has the highest volume?
  CaLa3